(1)
Pa2ZnOs | PBE-GGA | relaxed

Cell: 3.6321 3.6321 6.3875 Å, 90.00 90.00 90.00°
Closest atoms and distances in Å follow each position.
Space group P4/mmm (No. 123)
Unique sites:
Pa (0.0000, 0.0000, 0.2322)  4 Os 2.97, 1 Pa 2.97, 4 Zn 3.09
Zn (0.5000, 0.5000, 0.5000)  8 Pa 3.09, 2 Os 3.19
Os (0.5000, 0.5000, 0.0000)  8 Pa 2.97, 2 Zn 3.19

## Properties
Final energy (eV/atom): -7.97
ΔE_f (eV/atom): -0.093
Offset from the most stable computed form (meV per atom): 43.1
Magnetization (μB/atom): 0.000


(2)
Ta2Ti5GaOs2 | PBE-GGA | relaxed

Cell: 10.5597 10.5597 3.0922 Å, 90.00 90.00 90.00°
Closest atoms and distances in Å follow each position.
Space group P4/mbm (No. 127)
Unique sites:
Ta (0.1788, 0.3212, 0.0000)  1 Os 2.73
Ti (0.0000, 0.5000, 0.5000)  4 Os 2.58
Ti (0.0439, 0.7982, 0.5000)  2 Os 2.50, 2 Ga 2.67
Ga (0.0000, 0.0000, 0.0000)  8 Ti 2.67
Os (0.1387, 0.6387, 0.0000)  6 Ti 2.50-2.58, 1 Ta 2.73

## Properties
Final energy (eV/atom): -8.99
ΔE_f (eV/atom): -0.125
Magnetization (μB/atom): 0.000


(3)
CoMo2HOs | PBE-GGA | relaxed

Cell: 3.9526 3.9526 3.7332 Å, 90.00 90.00 90.00°
Closest atoms and distances in Å follow each position.
Space group P4/mmm (No. 123)
Unique sites:
Co (0.0000, 0.0000, 0.0000)  2 H 1.87
Mo (0.0000, 0.5000, 0.5000)  2 H 1.98
H (0.0000, 0.0000, 0.5000)  2 Co 1.87, 4 Mo 1.98
Os (0.5000, 0.5000, 0.0000)  8 Mo 2.72, 4 Co 2.79

## Properties
Final energy (eV/atom): -8.64
Offset from the most stable computed form (meV per atom): 0.0
Magnetization (μB/atom): 0.000


(4)
Nd2Y5HoSc | PBE-GGA | relaxed

Cell: 5.5613 20.3098 10.3512 Å, 90.00 90.00 90.00°
Closest atoms and distances in Å follow each position.
Space group Cmc2_1 (No. 36)
Unique sites:
Nd (0.0000, 0.1117, 0.0000)  8 Y 3.22-3.53, 1 Sc 3.47
Nd (0.0000, 0.1165, 0.4207)  1 Sc 3.29, 4 Y 3.52-3.57, 2 Ho 3.62
Y (0.0000, 0.0153, 0.7005)  2 Ho 3.27, 3 Nd 3.31-3.55, 1 Sc 3.57, 2 Y 3.63
Y (0.0000, 0.2700, 0.0177)  1 Ho 3.03, 1 Nd 3.22
Y (0.0000, 0.2987, 0.3855)  1 Ho 3.35, 2 Sc 3.37, 3 Y 3.40-3.61, 3 Nd 3.53-3.72
Y (0.0000, 0.3676, 0.7069)  4 Nd 3.53-3.57, 1 Sc 3.59, 4 Y 3.61-3.79
Y (0.0000, 0.4828, 0.4259)  2 Ho 3.17-3.35, 2 Nd 3.46
Ho (0.0000, 0.4058, 0.1397)  6 Y 3.03-3.35
Sc (0.0000, 0.1911, 0.7032)  2 Nd 3.29-3.47, 7 Y 3.37-3.63, 2 Ho 3.47

## Properties
Final energy (eV/atom): -5.71
ΔE_f (eV/atom): 0.149
Magnetization (μB/atom): 0.000


(5)
TeRhSe2 | PBE-GGA | relaxed

Cell: 6.9148 6.9148 8.2007 Å, 90.00 90.00 90.00°
Closest atoms and distances in Å follow each position.
Space group I-42d (No. 122)
Unique sites:
Te (0.0000, 0.0000, 0.0000)  4 Se 2.93
Rh (0.0000, 0.0000, 0.5000)  4 Se 2.41
Se (0.1914, 0.7500, 0.6250)  2 Rh 2.41

## Properties
Final energy (eV/atom): -4.32
Magnetization (μB/atom): 0.000


(6)
ScCd4Ag3 | PBE-GGA | relaxed

Cell: 19.6984 3.1972 5.1654 Å, 90.00 92.36 90.00°
Closest atoms and distances in Å follow each position.
Space group C2/m (No. 12)
Unique sites:
Sc (0.0000, 0.0000, 0.0000)  4 Ag 3.04, 6 Cd 3.07-3.31, 2 Sc 3.20
Cd (0.1236, 0.0000, 0.5859)  5 Ag 2.93-3.09, 6 Cd 3.03-3.20
Cd (0.1321, 0.5000, 0.0903)  3 Ag 2.94-2.98, 6 Cd 3.03-3.20, 2 Sc 3.07
Ag (0.0000, 0.5000, 0.5000)  4 Cd 2.93, 4 Sc 3.04, 2 Ag 3.20
Ag (0.2488, 0.5000, 0.7417)  6 Cd 2.94-3.09, 6 Ag 2.97-3.20

## Properties
Final energy (eV/atom): -2.38
ΔE_f (eV/atom): -0.059
Offset from the most stable computed form (meV per atom): 38.4
Magnetization (μB/atom): 0.000


(7)
Ba2Na2Sr | PBE-GGA | relaxed

Cell: 4.5628 4.5628 25.9904 Å, 90.00 90.00 90.00°
Closest atoms and distances in Å follow each position.
Space group I4/mmm (No. 139)
Unique sites:
Ba (0.0000, 0.0000, 0.1168)  4 Na 4.15, 4 Sr 4.43, 4 Ba 4.56
Na (0.0000, 0.5000, 0.2500)  4 Na 3.23
Sr (0.0000, 0.0000, 0.5000)  8 Ba 4.43, 4 Sr 4.56

## Properties
Final energy (eV/atom): -1.54
ΔE_f (eV/atom): 0.095
Offset from the most stable computed form (meV per atom): 83.5
Magnetization (μB/atom): 0.000


(8)
KBeCu2 | PBE-GGA | relaxed

Cell: 2.7159 3.8309 7.1018 Å, 90.00 90.90 90.00°
Closest atoms and distances in Å follow each position.
Space group Pm (No. 6)
Unique sites:
K (0.0000, 0.0000, 0.0000)  2 K 2.72
Be (0.9745, 0.5000, 0.4024)  6 Cu 2.27-2.36
Cu (0.4756, 0.0000, 0.4280)  4 Be 2.35-2.36, 2 Cu 2.53
Cu (0.4883, 0.5000, 0.6597)  2 Be 2.27-2.28, 2 Cu 2.53

## Properties
Final energy (eV/atom): -2.84
ΔE_f (eV/atom): 0.413
Magnetization (μB/atom): 0.000


(9)
La7Tc2Hg2 | PBE-GGA | relaxed

Cell: 4.0803 16.4697 9.9940 Å, 90.00 90.00 90.00°
Closest atoms and distances in Å follow each position.
Space group Imm2 (No. 44)
Unique sites:
La (0.0000, 0.0000, 0.0000)  3 Hg 3.27-3.38
La (0.0000, 0.1344, 0.4194)  2 Tc 2.92
La (0.0000, 0.3188, 0.6162)  2 Tc 2.88
La (0.0000, 0.3461, 0.2655)  2 Tc 3.02
Tc (0.0000, 0.2393, 0.9374)  6 La 2.88-3.02
Hg (0.0000, 0.0000, 0.6724)  7 La 3.27-3.38
Hg (0.0000, 0.5000, 0.7692)  8 La 3.35-3.38

## Properties
Final energy (eV/atom): -5.24
ΔE_f (eV/atom): -0.161
Magnetization (μB/atom): 0.000


(10)
SbRhAuI2 | PBE-GGA | relaxed

Cell: 5.4693 5.4693 5.1799 Å, 90.00 90.00 90.00°
Closest atoms and distances in Å follow each position.
Space group P4/mmm (No. 123)
Unique sites:
Sb (0.0000, 0.0000, 0.0000)  8 I 3.77, 4 Rh 3.87
Rh (0.5000, 0.5000, 0.0000)  2 Au 2.59
Au (0.5000, 0.5000, 0.5000)  2 Rh 2.59, 4 I 2.73
I (0.0000, 0.5000, 0.5000)  2 Au 2.73

## Properties
Final energy (eV/atom): -2.59
Offset from the most stable computed form (meV per atom): 513.2
Magnetization (μB/atom): 0.125


(11)
KZr2Tc | PBE-GGA | relaxed

Cell: 6.5517 7.3410 3.5875 Å, 90.00 90.00 90.00°
Closest atoms and distances in Å follow each position.
Space group Cmmm (No. 65)
Unique sites:
K (0.0000, 0.0000, 0.0000)  8 Zr 3.04, 2 Tc 3.28
Zr (0.2500, 0.2500, 0.5000)  4 K 3.04, 4 Tc 3.04, 2 Zr 3.28
Tc (0.0000, 0.5000, 0.0000)  8 Zr 3.04, 2 K 3.28

## Properties
Final energy (eV/atom): -6.17
ΔE_f (eV/atom): 0.966
Offset from the most stable computed form (meV per atom): 830.1
Magnetization (μB/atom): 0.000


(12)
Hg4C | PBE-GGA | relaxed

Cell: 4.8537 4.8537 4.8537 Å, 90.00 90.00 90.00°
Closest atoms and distances in Å follow each position.
Space group Pm-3m (No. 221)
Unique sites:
Hg (0.0000, 0.0000, 0.0000)  12 Hg 3.43
Hg (0.0000, 0.5000, 0.5000)  2 C 2.43
C (0.5000, 0.5000, 0.5000)  6 Hg 2.43

## Properties
Final energy (eV/atom): -1.20
ΔE_f (eV/atom): 0.888
Offset from the most stable computed form (meV per atom): 0.0
Magnetization (μB/atom): 0.000


(13)
NaSn3Ge | PBE-GGA | relaxed

Cell: 5.3792 5.3792 5.3792 Å, 90.00 90.00 90.00°
Closest atoms and distances in Å follow each position.
Space group Pm-3m (No. 221)
Unique sites:
Na (0.0000, 0.0000, 0.0000)  6 Sn 2.69
Sn (0.0000, 0.0000, 0.5000)  2 Na 2.69
Ge (0.5000, 0.5000, 0.5000)  12 Sn 3.80

## Properties
Final energy (eV/atom): -2.80
ΔE_f (eV/atom): 0.789
Offset from the most stable computed form (meV per atom): 724.9
Magnetization (μB/atom): 0.000


(14)
ThZnRh | PBE-GGA | relaxed

Cell: 6.5546 6.5546 6.5546 Å, 90.00 90.00 90.00°
Closest atoms and distances in Å follow each position.
Space group F-43m (No. 216)
Unique sites:
Th (0.0000, 0.0000, 0.0000)  4 Rh 2.84
Zn (0.0000, 0.0000, 0.5000)  4 Rh 2.84
Rh (0.2500, 0.2500, 0.7500)  4 Th 2.84, 4 Zn 2.84

## Properties
Final energy (eV/atom): -5.87
ΔE_f (eV/atom): -0.520
Magnetization (μB/atom): 0.000


(15)
PuIn3Bi2 | PBE-GGA | relaxed

Cell: 4.6650 15.2189 4.7850 Å, 90.00 90.00 90.00°
Closest atoms and distances in Å follow each position.
Space group Cmmm (No. 65)
Unique sites:
Pu (0.0000, 0.0000, 0.0000)  4 Bi 3.30, 8 In 3.34-3.49
In (0.0000, 0.1674, 0.5000)  6 Bi 3.35-3.63, 4 In 3.43-3.45, 2 Pu 3.49
In (0.0000, 0.5000, 0.5000)  4 Pu 3.34, 4 Bi 3.34, 4 In 3.45
Bi (0.0000, 0.3465, 0.0000)  2 Pu 3.30, 8 In 3.34-3.63

## Properties
Final energy (eV/atom): -5.14
ΔE_f (eV/atom): -0.091
Magnetization (μB/atom): 0.964


(16)
PmSmSb2Rh5 | PBE-GGA | relaxed

Cell: 4.4607 4.4607 9.0445 Å, 90.00 90.00 90.00°
Closest atoms and distances in Å follow each position.
Space group P4/mmm (No. 123)
Unique sites:
Pm (0.0000, 0.0000, 0.0000)  12 Rh 2.95-3.15
Sm (0.0000, 0.0000, 0.5000)  8 Rh 3.42, 8 Sb 3.46
Sb (0.5000, 0.5000, 0.3422)  4 Rh 2.52
Rh (0.0000, 0.5000, 0.2133)  2 Sb 2.52
Rh (0.5000, 0.5000, 0.0000)  8 Rh 2.95, 2 Sb 3.10, 4 Pm 3.15

## Properties
Final energy (eV/atom): -6.61
Magnetization (μB/atom): 0.000


(17)
Cr2ReSb | PBE-GGA | relaxed

Cell: 2.9516 3.8972 5.3749 Å, 90.00 90.00 90.00°
Closest atoms and distances in Å follow each position.
Space group Pmmm (No. 47)
Unique sites:
Cr (0.0000, 0.0000, 0.1987)  1 Cr 2.14
Re (0.5000, 0.5000, 0.0000)  8 Cr 2.67, 2 Sb 2.69, 2 Re 2.95
Sb (0.5000, 0.5000, 0.5000)  2 Re 2.69, 8 Cr 2.93, 2 Sb 2.95

## Properties
Final energy (eV/atom): -8.58
Magnetization (μB/atom): 0.000


(18)
Pr2TmAu6 | PBE-GGA | relaxed

Cell: 6.6435 6.6435 5.5821 Å, 90.00 90.00 120.00°
Closest atoms and distances in Å follow each position.
Space group P-3m1 (No. 164)
Unique sites:
Pr (0.3333, 0.6667, 0.3349)  12 Au 3.19-3.44
Tm (0.0000, 0.0000, 0.5000)  6 Au 2.81
Au (0.1873, 0.3746, 0.8216)  1 Tm 2.81, 4 Au 2.91-2.93

## Properties
Final energy (eV/atom): -4.40
ΔE_f (eV/atom): -0.656
Magnetization (μB/atom): 0.000


(19)
Tb6Nd3Dy2Sc | PBE-GGA | relaxed

Cell: 6.1788 10.7003 11.8055 Å, 90.00 100.03 90.00°
Closest atoms and distances in Å follow each position.
Space group C2/m (No. 12)
Unique sites:
Tb (0.2463, 0.1653, 0.2436)  1 Sc 3.49, 2 Dy 3.51, 6 Tb 3.54-3.58, 3 Nd 3.62-3.63
Tb (0.2496, 0.0000, 0.7561)  1 Sc 3.50, 2 Dy 3.51, 6 Tb 3.54-3.58, 3 Nd 3.62-3.63
Nd (0.0000, 0.1666, 0.5000)  6 Nd 3.56-3.57, 6 Tb 3.62-3.63
Nd (0.0000, 0.5000, 0.5000)  6 Nd 3.57, 6 Tb 3.62-3.63
Dy (0.0000, 0.3336, 0.0000)  6 Tb 3.51, 3 Dy 3.56-3.57, 3 Sc 3.57
Sc (0.0000, 0.0000, 0.0000)  6 Tb 3.49-3.50, 6 Dy 3.57

## Properties
Final energy (eV/atom): -4.77
ΔE_f (eV/atom): 0.028
Magnetization (μB/atom): 0.000


(20)
V5Cr2 | PBE-GGA | relaxed

Cell: 13.0974 4.9065 5.7014 Å, 90.00 91.54 90.00°
Closest atoms and distances in Å follow each position.
Space group C2/c (No. 15)
Unique sites:
V (0.0000, 0.1276, 0.2500)  4 V 2.44-2.56, 6 Cr 2.56-2.73
V (0.1412, 0.1279, 0.5385)  7 V 2.44-2.73, 1 Cr 2.56
V (0.2104, 0.3741, 0.1756)  2 Cr 2.45-2.58, 6 V 2.50-2.73
Cr (0.0674, 0.3753, 0.8906)  2 Cr 2.35-2.51, 4 V 2.45-2.58

## Properties
Final energy (eV/atom): -9.14
ΔE_f (eV/atom): 0.119
Magnetization (μB/atom): 0.000


(21)
GdDyTmHg | PBE-GGA | relaxed

Cell: 7.6334 7.6334 7.6334 Å, 90.00 90.00 90.00°
Closest atoms and distances in Å follow each position.
Space group F-43m (No. 216)
Unique sites:
Gd (0.0000, 0.0000, 0.0000)  4 Hg 3.31, 4 Tm 3.31
Dy (0.0000, 0.0000, 0.5000)  4 Hg 3.31, 4 Tm 3.31
Tm (0.2500, 0.2500, 0.7500)  4 Gd 3.31, 4 Dy 3.31
Hg (0.2500, 0.2500, 0.2500)  4 Gd 3.31, 4 Dy 3.31

## Properties
Final energy (eV/atom): -5.94
ΔE_f (eV/atom): -0.072
Magnetization (μB/atom): 1.958


(22)
SrMgMn | PBE-GGA | relaxed

Cell: 5.1003 5.1003 3.9222 Å, 90.00 90.00 120.00°
Closest atoms and distances in Å follow each position.
Space group P-6m2 (No. 187)
Unique sites:
Sr (0.0000, 0.0000, 0.0000)  6 Mn 3.54, 6 Mg 3.54, 2 Sr 3.92
Mg (0.6667, 0.3333, 0.5000)  3 Mn 2.94
Mn (0.3333, 0.6667, 0.5000)  3 Mg 2.94

## Properties
Final energy (eV/atom): -3.74
ΔE_f (eV/atom): 0.405
Offset from the most stable computed form (meV per atom): 55.5
Magnetization (μB/atom): 1.332


(23)
KSnIrO6 | PBE-GGA | relaxed

Cell: 5.4252 5.4252 5.9560 Å, 90.00 90.00 120.00°
Closest atoms and distances in Å follow each position.
Space group P312 (No. 149)
Unique sites:
K (0.0000, 0.0000, 0.0000)  6 O 2.82
Sn (0.6667, 0.3333, 0.5000)  6 O 2.10
Ir (0.3333, 0.6667, 0.5000)  6 O 1.93
O (0.0243, 0.4010, 0.3135)  1 Ir 1.93, 1 Sn 2.10

## Properties
Final energy (eV/atom): -5.91
Magnetization (μB/atom): 0.102